--- one ---
A relaxed CdFeCl2 crystal. Source: Alexandria via LeMat-Bulk, functional PBE.

Results
Theoretical density: 4.00 g/cm3
Spin magnetization: 0.818 μB/atom
Symmetry: Imm2

abc: 5.9215 5.9215 5.9215
angles: 148.21 112.26 76.78
Positions (direct):
Cd 0.0000 0.0000 0.0000
Fe 0.2416 0.7416 0.5000
Cl 0.4185 0.4185 0.0000
Cl 0.7796 0.2796 0.5000



--- two ---
A relaxed CdFeCl2 crystal. Source: Alexandria via LeMat-Bulk, functional PBE.

Results
Theoretical density: 4.06 g/cm3
Spin magnetization: 0.968 μB/atom
Symmetry: R-3m

abc: 9.8597 9.8597 9.8597
angles: 19.96 19.96 19.96
Positions (direct):
Cd 0.0000 0.0000 0.0000
Fe 0.5000 0.5000 0.5000
Cl 0.2170 0.2170 0.2170
Cl 0.7830 0.7830 0.7830



--- three ---
A relaxed CdFeCl2 crystal. Source: Alexandria via LeMat-Bulk, functional PBE.

Results
Theoretical density: 4.39 g/cm3
Spin magnetization: 0.821 μB/atom
Symmetry: R3m

abc: 8.8552 8.8552 8.8552
angles: 22.66 22.66 22.66
Positions (direct):
Cd 0.0000 0.0000 0.0000
Fe 0.2518 0.2518 0.2518
Cl 0.5349 0.5349 0.5349
Cl 0.7337 0.7337 0.7337



two comes first in stability; the runner-up is 9.8 kJ/mol of atoms higher.



--- one ---
A relaxed CdFeCl2 crystal. Source: Alexandria via LeMat-Bulk, functional PBE.

Results
Theoretical density: 4.70 g/cm3
Spin magnetization: 0.811 μB/atom
Symmetry: P4mm

abc: 3.1893 3.1893 8.3124
angles: 90.00 90.00 90.00
Positions (direct):
Cd 0.0000 0.0000 0.0000
Fe 0.5000 0.5000 0.7485
Cl 0.0000 0.0000 0.6007
Cl 0.5000 0.5000 0.1995



--- two ---
A relaxed CdFeCl2 crystal. Source: Alexandria via LeMat-Bulk, functional PBE.

Results
Theoretical density: 4.21 g/cm3
Spin magnetization: 0.930 μB/atom
Symmetry: Cmmm

abc: 3.3514 3.3514 9.5162
angles: 90.00 90.00 117.92
Positions (direct):
Cd 0.0000 0.0000 0.0000
Fe 0.0000 0.0000 0.5000
Cl 0.5000 0.5000 0.3267
Cl 0.5000 0.5000 0.6733



two comes first in stability; the runner-up is 8.6 kJ/mol of atoms higher.



--- one ---
A relaxed CdFeCl2 crystal. Source: Alexandria via LeMat-Bulk, functional PBE.

Results
Theoretical density: 4.70 g/cm3
Spin magnetization: 0.774 μB/atom
Symmetry: C2/m

abc: 5.3995 5.3995 3.4153
angles: 107.31 107.31 104.15
Positions (direct):
Cd 0.0000 0.0000 0.0000
Fe 0.5000 0.5000 0.0000
Cl 0.0000 0.5000 0.0000
Cl 0.5000 0.0000 0.0000



--- two ---
A relaxed CdFeCl2 crystal. Source: Alexandria via LeMat-Bulk, functional PBE.

Results
Theoretical density: 3.67 g/cm3
Spin magnetization: 0.000 μB/atom
Symmetry: I-42d

abc: 6.7405 6.7405 6.7405
angles: 120.10 120.10 89.84
Positions (direct):
Cd 0.0000 0.0000 0.0000
Cd 0.7500 0.2500 0.5000
Fe 0.2500 0.7500 0.5000
Fe 0.5000 0.5000 0.0000
Cl 0.2777 0.6250 0.1527
Cl 0.3750 0.5277 0.6527
Cl 0.4723 0.1250 0.8473
Cl 0.8750 0.7223 0.3473



--- three ---
A relaxed CdFeCl2 crystal. Source: Alexandria via LeMat-Bulk, functional PBE.

Results
Theoretical density: 4.35 g/cm3
Spin magnetization: 0.843 μB/atom
Symmetry: Pm

abc: 3.3742 3.2504 8.4883
angles: 90.00 101.24 90.00
Positions (direct):
Cd 0.0000 0.0000 0.0000
Fe 0.6071 0.5000 0.2165
Cl 0.4062 0.5000 0.8121
Cl 0.7013 0.0000 0.4105



three comes first in stability; the runner-up is 25.0 kJ/mol of atoms higher.



--- one ---
A relaxed CdFeCl crystal. Source: Alexandria via LeMat-Bulk, functional PBE.

Results
Theoretical density: 5.79 g/cm3
Spin magnetization: 0.990 μB/atom
Symmetry: Fmm2

abc: 6.6293 6.6270 3.0537
angles: 76.72 76.64 26.64
Positions (direct):
Cd 0.0000 0.0000 0.0000
Fe 0.6490 0.6490 0.3510
Cl 0.2588 0.2588 0.7412



--- two ---
A relaxed CdFeCl crystal. Source: Alexandria via LeMat-Bulk, functional PBE.

Results
Theoretical density: 5.79 g/cm3
Spin magnetization: 1.010 μB/atom
Symmetry: P3m1

abc: 3.2168 3.2168 6.5201
angles: 90.00 90.00 120.00
Positions (direct):
Cd 0.0000 0.0000 0.0000
Fe 0.3333 0.6667 0.6834
Cl 0.6667 0.3333 0.4532



two comes first in stability; the runner-up is 9.0 kJ/mol of atoms higher.